Material: LiNd2Sn3Ir4
Method: DFT, PBE
State: optimized geometry

POSCAR file:
```
LiNd2Sn3Ir4
1.0
4.278 0.000 0.000
0.000 4.278 0.000
0.000 0.000 11.512
Sn Ir Nd Li
3 4 2 1
direct
0.000 0.500 0.131
0.500 0.000 0.869
0.000 0.000 0.500
0.000 0.000 0.000
0.500 0.000 0.642
0.000 0.500 0.358
0.500 0.500 0.000
0.500 0.000 0.256
0.000 0.500 0.744
0.500 0.500 0.500
```

- SG: No. 115
- E_form: -0.509 eV per atom

Material: LiNdSnIr
Method: DFT, PBE
State: optimized geometry

POSCAR file:
```
LiNdSnIr
1.0
4.833 0.000 0.000
2.417 4.186 0.000
2.417 1.395 3.946
Li Sn Ir Nd
1 1 1 1
direct
0.500 0.500 0.500
0.250 0.250 0.250
0.000 0.000 0.000
0.750 0.750 0.750
```

- SG: No. 216
- E_form: -0.567 eV per atom

Material: LiNd2Sn4Ir3
Method: DFT, PBE
State: optimized geometry

POSCAR file:
```
LiNd2Sn4Ir3
1.0
-3.183 -1.536 2.826
-0.953 -3.347 -2.892
7.354 -6.296 4.861
Nd Ir Sn Li
2 3 4 1
direct
0.500 0.000 0.246
0.000 0.500 0.754
0.000 0.000 0.500
0.500 0.000 0.868
0.000 0.500 0.132
0.000 0.000 0.000
0.500 0.000 0.629
0.500 0.500 0.000
0.000 0.500 0.371
0.500 0.500 0.500
```

- SG: No. 115
- E_form: -0.565 eV per atom

Material: SrLiNdIr
Method: DFT, PBE
State: optimized geometry

POSCAR file:
```
SrLiNdIr
1.0
5.156 0.000 0.000
2.578 4.465 0.000
2.578 1.488 4.210
Li Ir Nd Sr
1 1 1 1
direct
0.500 0.500 0.500
0.000 0.000 0.000
0.250 0.250 0.250
0.750 0.750 0.750
```

- SG: No. 216
- E_form: -0.211 eV per atom

Material: LiNdThIr
Method: DFT, PBE
State: optimized geometry

POSCAR file:
```
LiNdThIr
1.0
-4.179 2.893 0.268
-4.568 -2.035 -0.945
-3.321 -0.672 3.798
Ir Nd Li Th
1 1 1 1
direct
0.000 0.000 0.000
0.750 0.750 0.750
0.500 0.500 0.500
0.250 0.250 0.250
```

- SG: No. 216
- E_form: -0.337 eV per atom

Material: LiNdTlIr
Method: DFT, PBE
State: optimized geometry

POSCAR file:
```
LiNdTlIr
1.0
-1.644 -4.195 -1.904
2.662 -2.377 -3.345
2.171 -4.228 1.157
Nd Tl Li Ir
1 1 1 1
direct
0.750 0.750 0.750
0.250 0.250 0.250
0.000 0.000 0.000
0.500 0.500 0.500
```

- SG: No. 216
- E_form: -0.286 eV per atom

Material: LiNdZn3Ir
Method: DFT, PBE
State: optimized geometry

POSCAR file:
```
LiNdZn3Ir
1.0
-5.125 1.981 -0.503
-0.177 -1.889 -5.635
-2.273 -4.667 4.773
Zn Li Ir Nd
6 2 2 2
direct
0.000 0.289 0.000
0.250 0.136 0.271
0.000 0.711 0.000
0.500 0.289 0.000
0.750 0.864 0.729
0.500 0.711 0.000
0.750 0.078 0.157
0.250 0.922 0.843
0.750 0.655 0.310
0.250 0.345 0.690
0.250 0.706 0.413
0.750 0.294 0.587
```

- SG: No. 63
- E_form: -0.237 eV per atom

Material: LiNdZnIr
Method: DFT, PBE
State: optimized geometry

POSCAR file:
```
LiNdZnIr
1.0
-0.803 4.125 -2.187
-3.344 0.297 -3.343
-3.997 2.395 0.854
Ir Zn Nd Li
1 1 1 1
direct
0.750 0.750 0.750
0.000 0.000 0.000
0.500 0.500 0.500
0.250 0.250 0.250
```

- SG: No. 216
- E_form: -0.312 eV per atom

Values for calculated total energy, Ry/atom, ordered as above
-0.470, -0.401, -0.439, -0.332, -0.447, -0.350, -0.255, -0.332
Values for density of states at the Fermi level, states/eV/cell, ordered as above
5.06, 3.78, 5.11, 2.47, 3.47, 4.08, 5.35, 2.20
Values for calculated volume, A^3/atom, ordered as above
21.1, 20.0, 22.2, 24.2, 23.3, 20.7, 17.5, 18.8